DFT (PBE) results for a geometry-optimized Mn2Co2Ir structure.

```
data_Mn2Co2Ir
_chemical_formula_sum 'Mn4 Co4 Ir2'
_symmetry_space_group_name_H-M 'I 4/m m m'
_symmetry_Int_Tables_number 139
_symmetry_space_group_name_Hall '-I 4 2'
_cell_length_a 3.498
_cell_length_b 3.498
_cell_length_c 9.942
_cell_angle_alpha 90.00
_cell_angle_beta 90.00
_cell_angle_gamma 90.00
loop_
_atom_site_label
_atom_site_type_symbol
_atom_site_fract_x
_atom_site_fract_y
_atom_site_fract_z
Mn1 Mn 0.000 0.000 0.100
Co1 Co 0.000 0.500 0.250
Ir1 Ir 0.000 0.000 0.500
```

Calculated values
density of states at the Fermi level: 1.13 states/eV per atom
ΔE_f: 2.0 eV per formula unit
density: 11.47 Mg/m³
DFT total energy: -7.88 eV/atom
polymorph energy (0 for the lowest one): 283 meV per atom
volume: 12.16 Å³/atom



DFT (PBE) results for a geometry-optimized MnCo2Ir structure.

```
data_MnCo2Ir
_chemical_formula_sum 'Mn2 Co4 Ir2'
_symmetry_space_group_name_H-M 'I -4 m 2'
_symmetry_Int_Tables_number 119
_symmetry_space_group_name_Hall 'I -4 -2'
_cell_length_a 3.602
_cell_length_b 3.602
_cell_length_c 7.259
_cell_angle_alpha 90.00
_cell_angle_beta 90.00
_cell_angle_gamma 90.00
loop_
_atom_site_label
_atom_site_type_symbol
_atom_site_fract_x
_atom_site_fract_y
_atom_site_fract_z
Mn1 Mn 0.000 0.000 0.000
Co1 Co 0.000 0.000 0.500
Co2 Co 0.000 0.500 0.250
Ir1 Ir 0.000 0.500 0.750
```

Calculated values
density of states at the Fermi level: 1.24 states/eV per atom
ΔE_f: -0.1 eV per formula unit
density: 12.87 Mg/m³
DFT total energy: -8.08 eV/atom
polymorph energy (0 for the lowest one): 35 meV per atom
volume: 11.77 Å³/atom



DFT (PBE) results for a geometry-optimized MnCo2Ir2 structure.

```
data_MnCo2Ir2
_chemical_formula_sum 'Mn2 Co4 Ir4'
_symmetry_space_group_name_H-M 'P 4/m b m'
_symmetry_Int_Tables_number 127
_symmetry_space_group_name_Hall '-P 4 2ab'
_cell_length_a 6.925
_cell_length_b 6.925
_cell_length_c 2.677
_cell_angle_alpha 90.00
_cell_angle_beta 90.00
_cell_angle_gamma 90.00
loop_
_atom_site_label
_atom_site_type_symbol
_atom_site_fract_x
_atom_site_fract_y
_atom_site_fract_z
Mn1 Mn 0.000 0.000 0.000
Co1 Co 0.120 0.380 0.000
Ir1 Ir 0.177 0.677 0.500
```

Calculated values
density of states at the Fermi level: 1.57 states/eV per atom
ΔE_f: 1.6 eV per formula unit
density: 14.42 Mg/m³
DFT total energy: -7.90 eV/atom
volume: 12.84 Å³/atom



DFT (PBE) results for a geometry-optimized MnCo3Ir12 structure.

```
data_MnCo3Ir12
_chemical_formula_sum 'Mn1 Co3 Ir12'
_symmetry_space_group_name_H-M 'P 4/m m m'
_symmetry_Int_Tables_number 123
_symmetry_space_group_name_Hall '-P 4 2'
_cell_length_a 3.804
_cell_length_b 3.804
_cell_length_c 15.241
_cell_angle_alpha 90.00
_cell_angle_beta 90.00
_cell_angle_gamma 90.00
loop_
_atom_site_label
_atom_site_type_symbol
_atom_site_fract_x
_atom_site_fract_y
_atom_site_fract_z
Mn1 Mn 0.000 0.000 0.000
Co1 Co 0.000 0.000 0.252
Co2 Co 0.000 0.000 0.500
Ir1 Ir 0.000 0.500 0.125
Ir2 Ir 0.000 0.500 0.375
Ir3 Ir 0.500 0.500 0.000
Ir4 Ir 0.500 0.500 0.250
Ir5 Ir 0.500 0.500 0.500
```

Calculated values
density of states at the Fermi level: 1.12 states/eV per atom
ΔE_f: -0.3 eV per formula unit
density: 19.12 Mg/m³
DFT total energy: -8.57 eV/atom
volume: 13.78 Å³/atom



DFT (PBE) results for a geometry-optimized MnCo2Ir4 structure.

```
data_MnCo2Ir4
_chemical_formula_sum 'Mn2 Co4 Ir8'
_symmetry_space_group_name_H-M 'C m m m'
_symmetry_Int_Tables_number 65
_symmetry_space_group_name_Hall '-C 2 2'
_cell_length_a 2.690
_cell_length_b 19.438
_cell_length_c 3.734
_cell_angle_alpha 90.00
_cell_angle_beta 90.00
_cell_angle_gamma 90.00
loop_
_atom_site_label
_atom_site_type_symbol
_atom_site_fract_x
_atom_site_fract_y
_atom_site_fract_z
Mn1 Mn 0.000 0.000 0.000
Co1 Co 0.000 0.299 0.500
Ir1 Ir 0.000 0.142 0.000
Ir2 Ir 0.000 0.432 0.500
```

Calculated values
density of states at the Fermi level: 1.19 states/eV per atom
ΔE_f: 1.0 eV per formula unit
density: 16.02 Mg/m³
DFT total energy: -8.25 eV/atom
volume: 13.94 Å³/atom



DFT (PBE) results for a geometry-optimized MnCo2Ir structure.

```
data_MnCo2Ir
_chemical_formula_sum 'Mn4 Co8 Ir4'
_symmetry_space_group_name_H-M 'F m -3 m'
_symmetry_Int_Tables_number 225
_symmetry_space_group_name_Hall '-F 4 2 3'
_cell_length_a 5.904
_cell_length_b 5.904
_cell_length_c 5.904
_cell_angle_alpha 90.00
_cell_angle_beta 90.00
_cell_angle_gamma 90.00
loop_
_atom_site_label
_atom_site_type_symbol
_atom_site_fract_x
_atom_site_fract_y
_atom_site_fract_z
Mn1 Mn 0.000 0.000 0.000
Co1 Co 0.250 0.250 0.250
Ir1 Ir 0.000 0.000 0.500
```

Calculated values
density of states at the Fermi level: 0.85 states/eV per atom
ΔE_f: 0.3 eV per formula unit
density: 11.78 Mg/m³
DFT total energy: -7.98 eV/atom
polymorph energy (0 for the lowest one): 141 meV per atom
volume: 12.86 Å³/atom



volume of number 3 (MnCo2Ir2)?
12.84 Å³/atom



Look up the density of the second one.
12.87 Mg/m³



What is the formula in the third record?
MnCo2Ir2



Please write out number 3 again, unchanged.
DFT (PBE) results for a geometry-optimized MnCo2Ir2 structure.

```
data_MnCo2Ir2
_chemical_formula_sum 'Mn2 Co4 Ir4'
_symmetry_space_group_name_H-M 'P 4/m b m'
_symmetry_Int_Tables_number 127
_symmetry_space_group_name_Hall '-P 4 2ab'
_cell_length_a 6.925
_cell_length_b 6.925
_cell_length_c 2.677
_cell_angle_alpha 90.00
_cell_angle_beta 90.00
_cell_angle_gamma 90.00
loop_
_atom_site_label
_atom_site_type_symbol
_atom_site_fract_x
_atom_site_fract_y
_atom_site_fract_z
Mn1 Mn 0.000 0.000 0.000
Co1 Co 0.120 0.380 0.000
Ir1 Ir 0.177 0.677 0.500
```

Calculated values
density of states at the Fermi level: 1.57 states/eV per atom
ΔE_f: 1.6 eV per formula unit
density: 14.42 Mg/m³
DFT total energy: -7.90 eV/atom
volume: 12.84 Å³/atom